Arrangement P

The following is a GGA-PBE calculation of crystalline IrOsIN2 at its relaxed geometry, from Alexandria.

a b c (Å): 3.787 3.787 6.093
angles (deg): 90.00 90.00 90.00
Positions (direct):
Ir: 0.000 0.000 0.000
Os: 0.500 0.500 0.500
I: 0.500 0.500 0.000
N: 0.000 0.500 0.500
N: 0.500 0.000 0.500

Results
SG: P4/mmm

---

Arrangement Q

The following is a GGA-PBE calculation of crystalline IrOsIN2 at its relaxed geometry, from Alexandria.

a b c (Å): 3.758 3.758 7.840
angles (deg): 90.00 90.00 90.00
Positions (direct):
Ir: 0.000 0.000 0.000
Os: 0.500 0.500 0.500
I: 0.000 0.000 0.500
N: 0.000 0.500 0.000
N: 0.500 0.000 0.000

Results
SG: P4/mmm

---

Stability check: which of them is most stable? arrangement P.